Record 1
Material: MgBeTlFe
Method: DFT, PBE
State: optimized geometry

Cell lengths 4.474, 4.474, 4.474 Å; angles 60.00, 60.00, 60.00 degrees
Positions (direct):
Be (0.500, 0.500, 0.500)
Fe (0.750, 0.750, 0.750)
Mg (0.250, 0.250, 0.250)
Tl (0.000, 0.000, 0.000)

* crystal system: cubic
* uncorrected energy: -3.46 eV/atom
* total magnetization: 0.515 μB per atom
* energy above the lowest structure with this stoichiometry: 0.000 eV/atom


Record 2
Material: Cd2SeS
Method: DFT, PBE
State: optimized geometry

Cell lengths 4.291, 4.291, 7.011 Å; angles 90.00, 90.00, 120.00 degrees
Positions (direct):
Cd (0.333, 0.667, 0.511)
Cd (0.000, 0.000, 0.989)
S (0.333, 0.667, 0.877)
Se (0.000, 0.000, 0.374)

* crystal system: trigonal
* uncorrected energy: -2.99 eV/atom
* energy above the lowest structure with this stoichiometry: 0.002 eV/atom


Record 3
Material: ZrBePd
Method: DFT, PBE
State: optimized geometry

Cell lengths 5.234, 5.234, 5.391 Å; angles 90.00, 90.00, 141.90 degrees
Positions (direct):
Be (0.906, 0.094, 0.250)
Be (0.094, 0.906, 0.750)
Pd (0.500, 0.500, 0.000)
Pd (0.500, 0.500, 0.500)
Zr (0.202, 0.798, 0.250)
Zr (0.798, 0.202, 0.750)

* crystal system: orthorhombic
* uncorrected energy: -6.35 eV/atom
* total magnetization: 0.001 μB per atom
* energy above the lowest structure with this stoichiometry: 0.000 eV/atom


Record 4
Material: SiMoAu2
Method: DFT, PBE
State: optimized geometry

Cell lengths 4.523, 4.523, 4.523 Å; angles 60.00, 60.00, 60.00 degrees
Positions (direct):
Au (0.000, 0.000, 0.000)
Au (0.750, 0.750, 0.750)
Mo (0.250, 0.250, 0.250)
Si (0.500, 0.500, 0.500)

* crystal system: cubic
* uncorrected energy: -5.39 eV/atom
* total magnetization: 0.007 μB per atom


Record 5
Material: ZnCuAu2
Method: DFT, PBE
State: optimized geometry

Cell lengths 4.558, 5.765, 4.725 Å; angles 90.00, 90.00, 90.00 degrees
Positions (direct):
Au (0.500, 0.250, 0.305)
Au (0.500, 0.750, 0.305)
Au (0.000, 0.250, 0.695)
Au (0.000, 0.750, 0.695)
Cu (0.000, 0.500, 0.187)
Cu (0.500, 0.000, 0.813)
Zn (0.000, 0.000, 0.182)
Zn (0.500, 0.500, 0.818)

* crystal system: orthorhombic
* uncorrected energy: -3.03 eV/atom
* energy relative to the elements: -149.6 meV/atom


Record 6
Material: GdMgTlSe3
Method: DFT, PBE
State: optimized geometry

Cell lengths 7.674, 7.674, 11.252 Å; angles 90.00, 90.00, 147.92 degrees
Positions (direct):
Gd (0.000, 0.000, 0.000)
Gd (0.000, 0.000, 0.500)
Mg (0.535, 0.465, 0.250)
Mg (0.465, 0.535, 0.750)
Se (0.627, 0.373, 0.059)
Se (0.933, 0.067, 0.250)
Se (0.627, 0.373, 0.441)
Se (0.373, 0.627, 0.559)
Se (0.067, 0.933, 0.750)
Se (0.373, 0.627, 0.941)
Tl (0.247, 0.753, 0.250)
Tl (0.753, 0.247, 0.750)

* crystal system: orthorhombic
* uncorrected energy: -4.46 eV/atom
* total magnetization: 0.001 μB per atom


Record 7
Material: InAg2S3
Method: DFT, PBE
State: optimized geometry

Cell lengths 7.143, 7.143, 7.062 Å; angles 99.58, 99.58, 119.99 degrees
Positions (direct):
Ag (0.394, 0.559, 0.489)
Ag (0.741, 0.240, 0.490)
Ag (0.559, 0.394, 0.989)
Ag (0.240, 0.741, 0.990)
In (0.081, 0.910, 0.500)
In (0.910, 0.081, 0.000)
S (0.613, 0.113, 0.115)
S (0.279, 0.449, 0.115)
S (0.943, 0.782, 0.121)
S (0.113, 0.613, 0.615)
S (0.449, 0.279, 0.615)
S (0.782, 0.943, 0.621)

* crystal system: monoclinic
* uncorrected energy: -3.70 eV/atom


Record 8
Material: Na3Ag3Sb2
Method: DFT, PBE
State: optimized geometry

Cell lengths 7.854, 7.854, 7.854 Å; angles 42.91, 42.91, 42.91 degrees
Positions (direct):
Ag (0.500, 0.500, 0.000)
Ag (0.500, 0.000, 0.500)
Ag (0.000, 0.500, 0.500)
Na (0.083, 0.083, 0.083)
Na (0.500, 0.500, 0.500)
Na (0.917, 0.917, 0.917)
Sb (0.230, 0.230, 0.230)
Sb (0.770, 0.770, 0.770)

* crystal system: trigonal
* uncorrected energy: -2.86 eV/atom


Record 9
Material: Al2Ag2TeSe3
Method: DFT, PBE
State: optimized geometry

Cell lengths 7.045, 7.045, 6.162 Å; angles 114.88, 114.88, 51.25 degrees
Positions (direct):
Ag (0.007, 0.733, 0.129)
Ag (0.267, 0.993, 0.871)
Al (0.745, 0.515, 0.392)
Al (0.485, 0.255, 0.608)
Se (0.622, 0.878, 0.287)
Se (0.404, 0.596, 0.500)
Se (0.122, 0.378, 0.713)
Te (0.849, 0.151, 0.000)

* crystal system: monoclinic
* uncorrected energy: -3.89 eV/atom


Record 10
Material: NaTlCoSb
Method: DFT, PBE
State: optimized geometry

Cell lengths 4.882, 4.882, 4.882 Å; angles 60.00, 60.00, 60.00 degrees
Positions (direct):
Co (0.250, 0.250, 0.250)
Na (0.750, 0.750, 0.750)
Sb (0.000, 0.000, 0.000)
Tl (0.500, 0.500, 0.500)

* crystal system: cubic
* uncorrected energy: -3.46 eV/atom
* total magnetization: 0.273 μB per atom
* energy above the lowest structure with this stoichiometry: 0.000 eV/atom


Record 11
Material: PrSi2Pt
Method: DFT, PBE
State: optimized geometry

Cell lengths 3.827, 5.346, 7.926 Å; angles 90.00, 90.00, 90.00 degrees
Positions (direct):
Pr (0.000, 0.000, 0.251)
Pr (0.000, 0.000, 0.751)
Pt (0.500, 0.498, 0.249)
Pt (0.500, 0.502, 0.749)
Si (0.500, 0.767, 0.001)
Si (0.000, 0.534, 0.500)
Si (0.500, 0.233, 0.501)
Si (0.000, 0.466, 0.000)

* crystal system: orthorhombic
* uncorrected energy: -6.08 eV/atom
* total magnetization: 0.000 μB per atom


Record 12
Material: NaAgTePd
Method: DFT, PBE
State: optimized geometry

Cell lengths 4.830, 4.830, 4.830 Å; angles 60.00, 60.00, 60.00 degrees
Positions (direct):
Ag (0.500, 0.500, 0.500)
Na (0.750, 0.750, 0.750)
Pd (0.250, 0.250, 0.250)
Te (0.000, 0.000, 0.000)

* crystal system: cubic
* uncorrected energy: -3.37 eV/atom
* energy above the lowest structure with this stoichiometry: 0.000 eV/atom


Record 13
Material: NbNi2TeSe2
Method: DFT, PBE
State: optimized geometry

Cell lengths 7.290, 3.694, 10.132 Å; angles 90.00, 108.28, 90.00 degrees
Positions (direct):
Nb (0.716, 0.750, 0.209)
Nb (0.284, 0.250, 0.791)
Ni (0.453, 0.250, 0.066)
Ni (0.913, 0.250, 0.412)
Ni (0.087, 0.750, 0.588)
Ni (0.547, 0.750, 0.934)
Se (0.561, 0.250, 0.319)
Se (0.071, 0.750, 0.347)
Se (0.929, 0.250, 0.653)
Se (0.439, 0.750, 0.681)
Te (0.793, 0.250, 0.006)
Te (0.207, 0.750, 0.994)

* crystal system: monoclinic
* uncorrected energy: -5.75 eV/atom
* total magnetization: 0.001 μB per atom
* energy above the lowest structure with this stoichiometry: 0.000 eV/atom


Record 14
Material: Tl2Bi2Pt
Method: DFT, PBE
State: optimized geometry

Cell lengths 7.851, 7.851, 6.540 Å; angles 90.00, 90.00, 129.39 degrees
Positions (direct):
Bi (0.358, 0.136, 0.250)
Bi (0.864, 0.642, 0.250)
Bi (0.136, 0.358, 0.750)
Bi (0.642, 0.864, 0.750)
Pt (0.000, 0.000, 0.000)
Pt (0.000, 0.000, 0.500)
Tl (0.827, 0.173, 0.250)
Tl (0.401, 0.599, 0.250)
Tl (0.599, 0.401, 0.750)
Tl (0.173, 0.827, 0.750)

* crystal system: orthorhombic
* uncorrected energy: -3.82 eV/atom
* total magnetization: 0.001 μB per atom


Record 15
Material: ScCoSbAu
Method: DFT, PBE
State: optimized geometry

Cell lengths 4.654, 4.654, 4.654 Å; angles 60.00, 60.00, 60.00 degrees
Positions (direct):
Au (0.750, 0.750, 0.750)
Co (0.250, 0.250, 0.250)
Sb (0.500, 0.500, 0.500)
Sc (0.000, 0.000, 0.000)

* crystal system: cubic
* uncorrected energy: -5.43 eV/atom
* total magnetization: 0.116 μB per atom
* energy above the lowest structure with this stoichiometry: 0.033 eV/atom


Record 16
Material: SrZr2Pt2
Method: DFT, PBE
State: optimized geometry

Cell lengths 6.390, 6.390, 6.390 Å; angles 136.96, 136.96, 62.50 degrees
Positions (direct):
Pt (0.376, 0.376, 0.000)
Pt (0.624, 0.624, 0.000)
Sr (0.000, 0.000, 0.000)
Zr (0.750, 0.250, 0.500)
Zr (0.250, 0.750, 0.500)

* crystal system: tetragonal
* uncorrected energy: -6.99 eV/atom
* total magnetization: 0.001 μB per atom


Record 17
Material: Y2Zr4Cd3N3
Method: DFT, PBE
State: optimized geometry

Cell lengths 5.845, 5.845, 15.362 Å; angles 100.81, 90.18, 119.94 degrees
Positions (direct):
Cd (0.117, 0.834, 0.249)
Cd (0.053, 0.303, 0.250)
Cd (0.585, 0.368, 0.251)
Cd (0.415, 0.632, 0.749)
Cd (0.947, 0.697, 0.750)
Cd (0.883, 0.166, 0.751)
N (0.500, 0.000, 0.000)
N (0.166, 0.333, 0.000)
N (0.834, 0.667, 0.000)
N (0.667, 0.334, 0.500)
N (0.000, 0.000, 0.500)
N (0.333, 0.666, 0.500)
Y (0.535, 0.730, 0.103)
Y (0.627, 0.932, 0.397)
Y (0.373, 0.068, 0.603)
Y (0.465, 0.270, 0.897)
Zr (0.200, 0.059, 0.076)
Zr (0.852, 0.385, 0.076)
Zr (0.309, 0.276, 0.424)
Zr (0.983, 0.623, 0.424)
Zr (0.017, 0.377, 0.576)
Zr (0.691, 0.724, 0.576)
Zr (0.148, 0.615, 0.924)
Zr (0.800, 0.941, 0.924)

* crystal system: monoclinic
* uncorrected energy: -7.22 eV/atom
* total magnetization: 0.000 μB per atom


Record 18
Material: Ho3Co4Ge13
Method: DFT, PBE
State: optimized geometry

Cell lengths 8.771, 8.771, 8.771 Å; angles 90.00, 90.00, 90.00 degrees
Positions (direct):
Co (0.250, 0.250, 0.250)
Co (0.750, 0.250, 0.250)
Co (0.250, 0.750, 0.250)
Co (0.750, 0.750, 0.250)
Co (0.250, 0.250, 0.750)
Co (0.750, 0.250, 0.750)
Co (0.250, 0.750, 0.750)
Co (0.750, 0.750, 0.750)
Ge (0.000, 0.000, 0.000)
Ge (0.304, 0.153, 0.000)
Ge (0.696, 0.153, 0.000)
Ge (0.304, 0.847, 0.000)
Ge (0.696, 0.847, 0.000)
Ge (0.000, 0.304, 0.153)
Ge (0.000, 0.696, 0.153)
Ge (0.500, 0.347, 0.196)
Ge (0.500, 0.653, 0.196)
Ge (0.153, 0.000, 0.304)
Ge (0.847, 0.000, 0.304)
Ge (0.196, 0.500, 0.347)
Ge (0.804, 0.500, 0.347)
Ge (0.347, 0.196, 0.500)
Ge (0.653, 0.196, 0.500)
Ge (0.500, 0.500, 0.500)
Ge (0.347, 0.804, 0.500)
Ge (0.653, 0.804, 0.500)
Ge (0.196, 0.500, 0.653)
Ge (0.804, 0.500, 0.653)
Ge (0.153, 0.000, 0.696)
Ge (0.847, 0.000, 0.696)
Ge (0.500, 0.347, 0.804)
Ge (0.500, 0.653, 0.804)
Ge (0.000, 0.304, 0.847)
Ge (0.000, 0.696, 0.847)
Ho (0.250, 0.500, 0.000)
Ho (0.750, 0.500, 0.000)
Ho (0.500, 0.000, 0.250)
Ho (0.000, 0.250, 0.500)
Ho (0.000, 0.750, 0.500)
Ho (0.500, 0.000, 0.750)

* crystal system: cubic
* uncorrected energy: -5.52 eV/atom
* total magnetization: 0.000 μB per atom


Record 19
Material: Hf14C
Method: DFT, PBE
State: optimized geometry

Cell lengths 7.277, 7.277, 7.277 Å; angles 73.73, 73.73, 73.73 degrees
Positions (direct):
C (0.500, 0.500, 0.500)
Hf (0.672, 0.328, 0.000)
Hf (0.328, 0.672, 0.000)
Hf (0.699, 0.699, 0.076)
Hf (0.924, 0.301, 0.301)
Hf (0.301, 0.924, 0.301)
Hf (0.672, 0.000, 0.328)
Hf (0.000, 0.672, 0.328)
Hf (0.365, 0.365, 0.365)
Hf (0.635, 0.635, 0.635)
Hf (0.328, 0.000, 0.672)
Hf (0.000, 0.328, 0.672)
Hf (0.699, 0.076, 0.699)
Hf (0.076, 0.699, 0.699)
Hf (0.301, 0.301, 0.924)

* crystal system: trigonal
* uncorrected energy: -9.32 eV/atom
* total magnetization: 0.001 μB per atom


Record 20
Material: LiFeCuAs
Method: DFT, PBE
State: optimized geometry

Cell lengths 4.109, 4.109, 4.109 Å; angles 60.00, 60.00, 60.00 degrees
Positions (direct):
As (0.000, 0.000, 0.000)
Cu (0.500, 0.500, 0.500)
Fe (0.250, 0.250, 0.250)
Li (0.750, 0.750, 0.750)

* crystal system: cubic
* uncorrected energy: -4.73 eV/atom
* total magnetization: 0.472 μB per atom
* energy above the lowest structure with this stoichiometry: 0.000 eV/atom